1.
Computed, not measured: crystalline CePr2Sm3As6 at its relaxed geometry at the PBE level of DFT.

For the density of states at the Fermi level, the calculation gives 12.2 states/eV/cell. The uncorrected energy is -6.30 eV/atom. As for the formation energy: -1.51 eV/atom.

The space group is C2/m (No. 12) and the conventional cell measures 18.487, 4.249 and 8.494 Å, with angles of 90.00, 103.23 and 90.00 degrees. Symmetry generates all atoms from Ce at (0.000, 0.000, 0.000), Pr at (0.167, 0.500, 0.335), Sm at (0.000, 0.000, 0.500), Sm at (0.168, 0.500, 0.833), As at (0.002, 0.500, 0.753), As at (0.165, 0.000, 0.079) and As at (0.165, 0.000, 0.587).

2.
Computed, not measured: crystalline Li4Pt5 at its relaxed geometry at the PBE level of DFT.

For the density of states at the Fermi level, the calculation gives 9.6 states/eV/cell. The uncorrected energy is -4.66 eV/atom. The calculation puts the energy above the most stable polymorph in this dataset at 0.0000 eV per atom. As for the formation energy: -0.45 eV/atom.

The space group is I4/mmm (No. 139) and the conventional cell measures 8.322, 8.322 and 3.842 Å, with angles of 90.00, 90.00 and 90.00 degrees. Symmetry generates all atoms from Li at (0.000, 0.310, 0.000), Pt at (0.000, 0.000, 0.000) and Pt at (0.170, 0.170, 0.500).

3.
Computed, not measured: crystalline DySnGe at its relaxed geometry at the PBE level of DFT.

For the density of states at the Fermi level, the calculation gives 1.1 states/eV/cell. The uncorrected energy is -4.76 eV/atom. As for the formation energy: -0.35 eV/atom.

The space group is P3m1 (No. 156) and the conventional cell measures 4.8473, 4.8473 and 3.6348 Å, with angles of 90.00, 90.00 and 120.00 degrees. Symmetry generates all atoms from Dy at (0.0000, 0.0000, 0.0000), Sn at (0.6667, 0.3333, 0.5018) and Ge at (0.3333, 0.6667, 0.4973).

4.
Computed, not measured: crystalline SrScN2F at its relaxed geometry at the PBE level of DFT.

For the density of states at the Fermi level, the calculation gives 2.6 states/eV/cell. The uncorrected energy is -5.21 eV/atom. For the uncorrected formation energy, the calculation gives 0.095 eV/atom. The calculation puts the energy above the most stable polymorph in this dataset at 1.4684 eV per atom.

The space group is P4/mmm (No. 123) and the conventional cell measures 4.470, 4.470 and 4.319 Å, with angles of 90.00, 90.00 and 90.00 degrees. Symmetry generates all atoms from Sr at (0.000, 0.000, 0.000), Sc at (0.500, 0.500, 0.500), N at (0.000, 0.500, 0.000) and F at (0.000, 0.000, 0.500).

5.
Computed, not measured: crystalline Co3NiIr at its relaxed geometry at the PBE level of DFT.

For the density of states at the Fermi level, the calculation gives 29.0 states/eV/cell. The uncorrected energy is -7.05 eV/atom. The calculation puts the energy above the most stable polymorph in this dataset at 0.0000 eV per atom. As for the formation energy: 0.14 eV/atom.

The space group is Cmcm (No. 63) and the conventional cell measures 4.169, 11.457 and 5.063 Å, with angles of 90.00, 90.00 and 90.00 degrees. Symmetry generates all atoms from Co at (0.000, 0.112, 0.001), Co at (0.000, 0.315, 0.250), Ni at (0.000, 0.500, 0.000) and Ir at (0.000, 0.310, 0.750).

6.
Computed, not measured: crystalline Li3AcSb3 at its relaxed geometry at the PBE level of DFT.

For the density of states at the Fermi level, the calculation gives 16.3 states/eV/cell. The uncorrected energy is -3.66 eV/atom. For the uncorrected formation energy, the calculation gives -0.485 eV/atom. The calculation puts the energy above the most stable polymorph in this dataset at 0.0000 eV per atom.

The space group is R-3 (No. 148, hexagonal axes) and the conventional cell measures 6.9952, 6.9952 and 25.9172 Å, with angles of 90.00, 90.00 and 120.00 degrees. Symmetry generates all atoms from Li at (0.0359, 0.2750, 0.1934), Ac at (0.0000, 0.0000, 0.3149) and Sb at (0.0237, 0.4347, 0.7496).

7.
Computed, not measured: crystalline La2Al4InCu3 at its relaxed geometry at the PBE level of DFT.

For the density of states at the Fermi level, the calculation gives 5.3 states/eV/cell. The uncorrected energy is -4.39 eV/atom. As for the formation energy: -0.40 eV/atom.

The space group is P-4m2 (No. 115) and the conventional cell measures 4.348, 4.348 and 10.603 Å, with angles of 90.00, 90.00 and 90.00 degrees. Symmetry generates all atoms from La at (0.000, 0.500, 0.240), Al at (0.000, 0.000, 0.000), Al at (0.000, 0.500, 0.651), Al at (0.500, 0.500, 0.000), In at (0.000, 0.000, 0.500), Cu at (0.000, 0.500, 0.880) and Cu at (0.500, 0.500, 0.500).

8.
Computed, not measured: crystalline K3LiNp2O6 at its relaxed geometry at the PBE level of DFT.

For the density of states at the Fermi level, the calculation gives 25.5 states/eV/cell. The uncorrected energy is -7.37 eV/atom. For the uncorrected formation energy, the calculation gives -2.297 eV/atom.

The space group is C2/m (No. 12) and the conventional cell measures 5.995, 10.415 and 6.535 Å, with angles of 90.00, 107.49 and 90.00 degrees. Symmetry generates all atoms from K at (0.000, 0.000, 0.000), K at (0.000, 0.344, 0.000), Li at (0.000, 0.500, 0.500), Np at (0.000, 0.167, 0.500), O at (0.205, 0.000, 0.686) and O at (0.244, 0.319, 0.691).

9.
Computed, not measured: crystalline Tl2SnTeSe4 at its relaxed geometry at the PBE level of DFT.

For the density of states at the Fermi level, the calculation gives 9.0 states/eV/cell. The uncorrected energy is -3.49 eV/atom. For the uncorrected formation energy, the calculation gives -0.259 eV/atom.

The space group is Imma (No. 74) and the conventional cell measures 8.686, 8.729 and 12.275 Å, with angles of 90.00, 90.00 and 90.00 degrees. Symmetry generates all atoms from Tl at (0.000, 0.000, 0.000), Tl at (0.250, 0.250, 0.250), Sn at (0.000, 0.000, 0.500), Te at (0.250, 0.250, 0.750), Se at (0.000, 0.026, 0.743) and Se at (0.234, 0.250, 0.514).

10.
Computed, not measured: crystalline MgTl3Bi2Te6 at its relaxed geometry at the PBE level of DFT.

For the density of states at the Fermi level, the calculation gives 12.3 states/eV/cell. The uncorrected energy is -3.31 eV/atom. For the uncorrected formation energy, the calculation gives -0.365 eV/atom.

The space group is C2/m (No. 12) and the conventional cell measures 7.791, 13.521 and 8.173 Å, with angles of 90.00, 108.65 and 90.00 degrees. Symmetry generates all atoms from Mg at (0.000, 0.000, 0.000), Tl at (0.000, 0.174, 0.500), Tl at (0.000, 0.500, 0.500), Bi at (0.000, 0.336, 0.000), Te at (0.232, 0.159, 0.220) and Te at (0.243, 0.000, 0.776).

11.
Computed, not measured: crystalline Pr6Ge2Te3Se at its relaxed geometry at the PBE level of DFT.

For the density of states at the Fermi level, the calculation gives 9.5 states/eV/cell. The uncorrected energy is -5.63 eV/atom. For the uncorrected formation energy, the calculation gives -1.395 eV/atom.

The space group is C2/m (No. 12) and the conventional cell measures 19.463, 4.400 and 8.956 Å, with angles of 90.00, 104.69 and 90.00 degrees. Symmetry generates all atoms from Pr at (0.009, 0.000, 0.242), Pr at (0.164, 0.500, 0.102), Pr at (0.172, 0.500, 0.569), Ge at (0.166, 0.000, 0.331), Te at (0.000, 0.500, 0.500), Te at (0.165, 0.000, 0.834) and Se at (0.000, 0.500, 0.000).

12.
Computed, not measured: crystalline Li3Ca4Mg at its relaxed geometry at the PBE level of DFT.

For the density of states at the Fermi level, the calculation gives 7.7 states/eV/cell. The uncorrected energy is -1.93 eV/atom. The calculation puts the energy above the most stable polymorph in this dataset at 0.0000 eV per atom. As for the formation energy: -0.01 eV/atom.

The space group is Pmmm (No. 47) and the conventional cell measures 3.931, 5.667 and 11.220 Å, with angles of 90.00, 90.00 and 90.00 degrees. Symmetry generates all atoms from Li at (0.000, 0.000, 0.000), Li at (0.000, 0.500, 0.252), Ca at (0.500, 0.000, 0.249), Ca at (0.500, 0.500, 0.000), Ca at (0.500, 0.500, 0.500) and Mg at (0.000, 0.000, 0.500).